Entry 1:
First-principles (PBE) data for an optimized crystal structure of HfGa3W, as listed in the Alexandria database.

Summary:
DFT total energy in eV for the cell shown: -28.32
DFT formation energy in eV/atom: 0.733
Calculated density in g cm⁻³: 8.6
E above lowest polymorph in meV/atom: 0.0

abc: 4.792 4.792 4.792
angles: 90.00 90.00 90.00
Space group Pm-3m (No. 221)
Unique sites:
1 Hf 0.000 0.000 0.000 x1
2 Ga 0.000 0.500 0.500 x3
3 W 0.500 0.500 0.500 x1



Entry 2:
First-principles (PBE) data for an optimized crystal structure of Tb4PrHo3, as listed in the Alexandria database.

Summary:
DFT total energy in eV for the cell shown: -73.84
DFT formation energy in eV/atom: 0.014
Calculated density in g cm⁻³: 8.1
E above lowest polymorph in meV/atom: 0.0

abc: 11.343 7.290 6.296
angles: 90.00 90.00 90.00
Space group Pmn2_1 (No. 31)
Unique sites:
1 Tb 0.000 0.125 0.000 x2
2 Tb 0.000 0.875 0.498 x2
3 Tb 0.248 0.875 0.832 x4
4 Pr 0.000 0.375 0.498 x2
5 Ho 0.000 0.625 0.998 x2
6 Ho 0.250 0.375 0.832 x4



Entry 3:
First-principles (PBE) data for an optimized crystal structure of NiSb2Te, as listed in the Alexandria database.

Summary:
DFT total energy in eV for the cell shown: -30.71
Calculated density in g cm⁻³: 7.6
E_form (uncorrected) in eV/atom: 0.45

abc: 6.213 8.165 3.726
angles: 90.00 90.00 90.00
Space group Cmmm (No. 65)
Unique sites:
1 Ni 0.000 0.000 0.000 x2
2 Sb 0.250 0.250 0.500 x4
3 Te 0.000 0.500 0.000 x2



Entry 4:
First-principles (PBE) data for an optimized crystal structure of Ba2LaTc, as listed in the Alexandria database.

Summary:
DFT total energy in eV for the cell shown: -15.96
DFT formation energy in eV/atom: 0.796
Calculated density in g cm⁻³: 6.2
E above lowest polymorph in meV/atom: 456.7

abc: 4.363 5.303 6.138
angles: 90.00 104.27 90.00
Space group P2/m (No. 10)
Unique sites:
1 Ba 0.147 0.000 0.279 x2
2 La 0.500 0.500 0.000 x1
3 Tc 0.500 0.500 0.500 x1



Entry 5:
First-principles (PBE) data for an optimized crystal structure of LaPm2SmBi4, as listed in the Alexandria database.

Summary:
DFT total energy in eV for the cell shown: -42.38
DFT formation energy in eV/atom: -0.964
Calculated density in g cm⁻³: 8.5

abc: 7.976 4.610 7.978
angles: 90.00 109.46 90.00
Space group P2/m (No. 10)
Unique sites:
1 La 0.000 0.000 0.000 x1
2 Pm 0.000 0.500 0.500 x1
3 Pm 0.500 0.000 0.500 x1
4 Sm 0.500 0.500 0.000 x1
5 Bi 0.253 0.000 0.749 x2
6 Bi 0.254 0.500 0.254 x2



Entry 6:
First-principles (PBE) data for an optimized crystal structure of Ac5Pd2Rh2, as listed in the Alexandria database.

Summary:
DFT total energy in eV for the cell shown: -206.76
DFT formation energy in eV/atom: -0.673
Calculated density in g cm⁻³: 9.8

abc: 15.638 8.255 8.162
angles: 90.00 90.00 90.00
Space group Cmce (No. 64)
Unique sites:
1 Ac 0.000 0.000 0.000 x4
2 Ac 0.134 0.169 0.338 x16
3 Pd 0.203 0.000 0.000 x8
4 Rh 0.000 0.135 0.634 x8



Entry 7:
First-principles (PBE) data for an optimized crystal structure of PrHo2Hg, as listed in the Alexandria database.

Summary:
DFT total energy in eV for the cell shown: -14.84
DFT formation energy in eV/atom: -0.151
Calculated density in g cm⁻³: 9.7
E above lowest polymorph in meV/atom: 81.9

abc: 4.866 4.866 4.834
angles: 90.00 90.00 90.00
Space group P4/mmm (No. 123)
Unique sites:
1 Pr 0.000 0.000 0.000 x1
2 Ho 0.000 0.500 0.500 x2
3 Hg 0.500 0.500 0.000 x1



Entry 8:
First-principles (PBE) data for an optimized crystal structure of AgIrI2O, as listed in the Alexandria database.

Summary:
DFT total energy in eV for the cell shown: -14.06
Calculated density in g cm⁻³: 8.1
E_form (uncorrected) in eV/atom: 1.14
E above lowest polymorph in meV/atom: 1136.0

abc: 5.520 5.520 3.857
angles: 90.00 90.00 90.00
Space group P4/mmm (No. 123)
Unique sites:
1 Ag 0.000 0.000 0.000 x1
2 Ir 0.500 0.500 0.500 x1
3 I 0.000 0.500 0.000 x2
4 O 0.000 0.000 0.500 x1



Entry 9:
First-principles (PBE) data for an optimized crystal structure of BaNaP2S, as listed in the Alexandria database.

Summary:
DFT total energy in eV for the cell shown: -17.53
Calculated density in g cm⁻³: 3.3
E_form (uncorrected) in eV/atom: 0.13
E above lowest polymorph in meV/atom: 0.0

abc: 4.993 4.993 5.171
angles: 90.00 90.00 90.00
Space group P4/mmm (No. 123)
Unique sites:
1 Ba 0.000 0.000 0.000 x1
2 Na 0.500 0.500 0.500 x1
3 P 0.000 0.500 0.500 x2
4 S 0.500 0.500 0.000 x1



Entry 10:
First-principles (PBE) data for an optimized crystal structure of Li3In3Ni2Ag, as listed in the Alexandria database.

Summary:
DFT total energy in eV for the cell shown: -29.98
DFT formation energy in eV/atom: -0.179
Calculated density in g cm⁻³: 6.7

abc: 7.6020 7.6020 2.9410
angles: 90.00 90.00 120.00
Space group P-62m (No. 189)
Unique sites:
1 Li 0.0000 0.7063 0.0000 x3
2 In 0.0000 0.3860 0.5000 x3
3 Ni 0.3333 0.6667 0.0000 x2
4 Ag 0.0000 0.0000 0.5000 x1



Entry 11:
First-principles (PBE) data for an optimized crystal structure of NaMg2GeBr, as listed in the Alexandria database.

Summary:
DFT total energy in eV for the cell shown: -8.05
Calculated density in g cm⁻³: 2.3
E_form (uncorrected) in eV/atom: 0.55

abc: 5.617 5.617 5.102
angles: 90.00 90.00 90.00
Space group P4/mmm (No. 123)
Unique sites:
1 Na 0.000 0.000 0.000 x1
2 Mg 0.000 0.500 0.000 x2
3 Ge 0.000 0.000 0.500 x1
4 Br 0.500 0.500 0.500 x1



Entry 12:
First-principles (PBE) data for an optimized crystal structure of InAgIr2, as listed in the Alexandria database.

Summary:
DFT total energy in eV for the cell shown: -66.48
DFT formation energy in eV/atom: 0.288
Calculated density in g cm⁻³: 14.9

abc: 2.8968 2.8968 27.9241
angles: 90.00 90.00 120.00
Space group R3m (No. 160, hexagonal axes)
Unique sites:
1 In 0.0000 0.0000 0.0000 x3
2 Ag 0.0000 0.0000 0.2431 x3
3 Ir 0.0000 0.0000 0.4915 x3
4 Ir 0.0000 0.0000 0.7506 x3



Entry 13:
First-principles (PBE) data for an optimized crystal structure of CaAg2Au, as listed in the Alexandria database.

Summary:
DFT total energy in eV for the cell shown: -23.43
DFT formation energy in eV/atom: -0.184
Calculated density in g cm⁻³: 8.5

abc: 5.830 10.229 3.753
angles: 90.00 128.01 90.00
Space group C2/m (No. 12)
Unique sites:
1 Ca 0.000 0.000 0.000 x2
2 Ag 0.250 0.250 0.500 x4
3 Au 0.000 0.500 0.000 x2



Entry 14:
First-principles (PBE) data for an optimized crystal structure of CdPdBr2, as listed in the Alexandria database.

Summary:
DFT total energy in eV for the cell shown: -28.92
Calculated density in g cm⁻³: 5.5
E_form (uncorrected) in eV/atom: -0.05
E above lowest polymorph in meV/atom: 114.9

abc: 3.8293 3.8293 26.9271
angles: 90.00 90.00 120.00
Space group R-3m (No. 166, hexagonal axes)
Unique sites:
1 Cd 0.0000 0.0000 0.0000 x3
2 Pd 0.0000 0.0000 0.5000 x3
3 Br 0.0000 0.0000 0.1089 x6



Entry 15:
First-principles (PBE) data for an optimized crystal structure of SrCaY2Co, as listed in the Alexandria database.

Summary:
DFT total energy in eV for the cell shown: -23.46
DFT formation energy in eV/atom: 0.051
Calculated density in g cm⁻³: 3.7
E above lowest polymorph in meV/atom: 55.0

abc: 5.295 5.295 5.890
angles: 90.00 90.00 90.00
Space group P4/mmm (No. 123)
Unique sites:
1 Sr 0.000 0.000 0.000 x1
2 Ca 0.500 0.500 0.000 x1
3 Y 0.000 0.500 0.500 x2
4 Co 0.000 0.000 0.500 x1



Entry 16:
First-principles (PBE) data for an optimized crystal structure of BeZnAsIr, as listed in the Alexandria database.

Summary:
DFT total energy in eV for the cell shown: -37.45
DFT formation energy in eV/atom: -0.054
Calculated density in g cm⁻³: 10.0
E above lowest polymorph in meV/atom: 126.4

abc: 3.832 3.104 9.511
angles: 90.00 90.00 90.00
Space group Amm2 (No. 38)
Unique sites:
1 Be 0.000 0.000 0.000 x2
2 Zn 0.500 0.000 0.415 x2
3 As 0.000 0.000 0.747 x2
4 Ir 0.500 0.000 0.136 x2



Entry 17:
First-principles (PBE) data for an optimized crystal structure of CrP2W, as listed in the Alexandria database.

Summary:
DFT total energy in eV for the cell shown: -65.35
DFT formation energy in eV/atom: 0.180
Calculated density in g cm⁻³: 7.4
E above lowest polymorph in meV/atom: 629.0

abc: 3.306 4.342 9.261
angles: 90.00 90.00 90.00
Space group Cmm2 (No. 35)
Unique sites:
1 Cr 0.000 0.000 0.000 x2
2 P 0.000 0.000 0.574 x2
3 P 0.000 0.500 0.175 x2
4 W 0.000 0.500 0.776 x2



Entry 18:
First-principles (PBE) data for an optimized crystal structure of NiHgBi2Ir, as listed in the Alexandria database.

Summary:
DFT total energy in eV for the cell shown: -14.44
DFT formation energy in eV/atom: 1.653
Calculated density in g cm⁻³: 9.4

abc: 5.525 5.525 5.045
angles: 90.00 90.00 90.00
Space group P4/mmm (No. 123)
Unique sites:
1 Ni 0.000 0.000 0.000 x1
2 Hg 0.500 0.500 0.500 x1
3 Bi 0.000 0.500 0.500 x2
4 Ir 0.500 0.500 0.000 x1



Entry 19:
First-principles (PBE) data for an optimized crystal structure of Tm7ScPb4, as listed in the Alexandria database.

Summary:
DFT total energy in eV for the cell shown: -105.09
DFT formation energy in eV/atom: -0.007
Calculated density in g cm⁻³: 9.5

abc: 14.606 5.524 11.214
angles: 90.00 127.25 90.00
Space group C2/m (No. 12)
Unique sites:
1 Tm 0.000 0.000 0.000 x2
2 Tm 0.078 0.500 0.335 x4
3 Tm 0.153 0.000 0.580 x4
4 Tm 0.211 0.500 0.876 x4
5 Sc 0.000 0.500 0.000 x2
6 Pb 0.075 0.000 0.777 x4
7 Pb 0.213 0.000 0.332 x4



Entry 20:
First-principles (PBE) data for an optimized crystal structure of Li5LaCd6, as listed in the Alexandria database.

Summary:
DFT total energy in eV for the cell shown: -45.30
DFT formation energy in eV/atom: -0.222
Calculated density in g cm⁻³: 5.5

abc: 4.919 14.587 7.188
angles: 90.00 90.00 90.00
Space group Cmmm (No. 65)
Unique sites:
1 Li 0.000 0.000 0.000 x2
2 Li 0.000 0.326 0.500 x4
3 Li 0.000 0.343 0.000 x4
4 La 0.000 0.000 0.500 x2
5 Cd 0.000 0.177 0.222 x8
6 Cd 0.000 0.500 0.217 x4



Entry 21:
First-principles (PBE) data for an optimized crystal structure of NiSb2Os, as listed in the Alexandria database.

Summary:
DFT total energy in eV for the cell shown: -23.51
Calculated density in g cm⁻³: 11.7
E_form (uncorrected) in eV/atom: 0.44
E above lowest polymorph in meV/atom: 249.1

abc: 4.676 4.676 3.200
angles: 90.00 90.00 90.00
Space group P4/mmm (No. 123)
Unique sites:
1 Ni 0.000 0.000 0.000 x1
2 Sb 0.000 0.500 0.500 x2
3 Os 0.500 0.500 0.000 x1



Entry 22:
First-principles (PBE) data for an optimized crystal structure of AlCdAg5, as listed in the Alexandria database.

Summary:
DFT total energy in eV for the cell shown: -73.53
DFT formation energy in eV/atom: 0.076
Calculated density in g cm⁻³: 8.4
E above lowest polymorph in meV/atom: 82.6

abc: 8.187 10.911 6.631
angles: 90.00 114.39 90.00
Space group C2/c (No. 15)
Unique sites:
1 Al 0.000 0.036 0.250 x4
2 Cd 0.000 0.500 0.000 x4
3 Ag 0.000 0.282 0.250 x4
4 Ag 0.151 0.149 0.647 x8
5 Ag 0.240 0.127 0.110 x8



Entry 23:
First-principles (PBE) data for an optimized crystal structure of SmAl2SbO8, as listed in the Alexandria database.

Summary:
DFT total energy in eV for the cell shown: -160.40
Calculated density in g cm⁻³: 5.0
E_form (uncorrected) in eV/atom: -2.02

abc: 6.747 6.747 6.573
angles: 90.00 90.00 90.00
Space group I-4m2 (No. 119)
Unique sites:
1 Sm 0.000 0.000 0.000 x2
2 Al 0.000 0.000 0.500 x2
3 Al 0.000 0.500 0.750 x2
4 Sb 0.000 0.500 0.250 x2
5 O 0.000 0.199 0.317 x8
6 O 0.000 0.332 0.952 x8



Entry 24:
First-principles (PBE) data for an optimized crystal structure of Zr2FeAs, as listed in the Alexandria database.

Summary:
DFT total energy in eV for the cell shown: -62.31
DFT formation energy in eV/atom: -0.237
Calculated density in g cm⁻³: 7.1

abc: 4.447 4.805 6.850
angles: 90.00 90.00 90.00
Space group Cmm2 (No. 35)
Unique sites:
1 Zr 0.000 0.000 0.000 x2
2 Zr 0.000 0.500 0.325 x2
3 Fe 0.000 0.500 0.764 x2
4 As 0.000 0.000 0.592 x2



Entry 25:
First-principles (PBE) data for an optimized crystal structure of Np2P4Ir3Rh, as listed in the Alexandria database.

Summary:
DFT total energy in eV for the cell shown: -88.65
DFT formation energy in eV/atom: -0.719
Calculated density in g cm⁻³: 13.0

abc: 4.134 4.134 9.576
angles: 90.00 90.00 90.00
Space group P-4m2 (No. 115)
Unique sites:
1 Np 0.000 0.500 0.243 x2
2 P 0.000 0.000 0.000 x1
3 P 0.000 0.500 0.640 x2
4 P 0.500 0.500 0.000 x1
5 Ir 0.000 0.500 0.885 x2
6 Ir 0.500 0.500 0.500 x1
7 Rh 0.000 0.000 0.500 x1



no.,D(E_F) (states/eV per atom)
1,0.97
2,1.64
3,0.56
4,1.24
5,0.13
6,0.52
7,1.41
8,1.67
9,0.97
10,0.45
11,0.35
12,1.21
13,0.33
14,0.99
15,0.59
16,0.41
17,0.85
18,1.38
19,1.10
20,0.46
21,0.83
22,0.26
23,0.55
24,0.92
25,2.20